A plane-wave DFT calculation with GGA-PBE was carried out for a relaxed structure of AcLaNdMg.

DOS at the Fermi energy ... 4.81 states/eV per cell
Calculated formation energy ... -0.04 eV per atom
ΔE to the lowest computed polymorph ... 0 meV per atom
Space group ... P4mm

a = 3.898 Å, b = 3.898 Å, c = 9.261 Å
α = 90.00°, β = 90.00°, γ = 90.00°
Sites, in units of the cell vectors:
Ac  0.000  0.000  0.000
La  0.500  0.500  0.713
Nd  0.500  0.500  0.281
Mg  0.000  0.000  0.490